A) Li2MgGa4: relaxed, PBE-GGA.

Unit cell a=4.9741 b=4.9741 c=13.7829 alpha=90.00 beta=90.00 gamma=90.00
Closest atoms and distances in Å follow each position.
Space group I4/mmm (No. 139)
Inequivalent atoms, fractional coordinates:
1 Li 0.0000 0.0000 0.1068 [4 per cell]  5 Ga 2.67-2.89, 1 Li 2.94
2 Mg 0.0000 0.0000 0.5000 [2 per cell]  6 Ga 2.49-2.75
3 Ga 0.0000 0.0000 0.3005 [4 per cell]  1 Li 2.67, 1 Mg 2.75
4 Ga 0.0000 0.5000 0.0000 [4 per cell]  2 Mg 2.49

Properties
**N(E_F)**: 5.07 states/eV/cell

B) Li2MgGa4: relaxed, PBE-GGA.

Unit cell a=3.1228 b=4.4674 c=17.9260 alpha=90.00 beta=90.00 gamma=90.00
Closest atoms and distances in Å follow each position.
Space group Immm (No. 71)
Inequivalent atoms, fractional coordinates:
1 Li 0.0000 0.0000 0.2012 [4 per cell]  7 Ga 2.71-2.89
2 Mg 0.0000 0.5000 0.0000 [2 per cell]  12 Ga 3.01-3.07, 2 Mg 3.12
3 Ga 0.0000 0.0000 0.3525 [4 per cell]  2 Ga 2.62, 5 Li 2.71-2.89
4 Ga 0.0000 0.5000 0.4286 [4 per cell]  3 Ga 2.56-2.62, 2 Li 2.80

Properties
**N(E_F)**: 5.78 states/eV/cell

Which one sits at the top of the stability order? B) does.